VASP calculation (PBE) on InTcAg2 after structural relaxation.

Summary:
E = -17.0 eV/cell
Magnetization = 0.00 μB per cell
SG = No. 44

Cell: 5.6418 5.6418 5.6418 Å, 149.54 127.74 61.71°
Element x y z (fractional)
In1 0.0000 0.0000 0.0000
Tc1 0.2474 0.7474 0.5000
Ag1 0.4995 0.4995 0.0000
Ag2 0.7498 0.2498 0.5000

VASP calculation (PBE) on InTc2Ag after structural relaxation.

Summary:
E = -24.4 eV/cell
Magnetization = 0.00 μB per cell
SG = No. 12

Cell: 5.1890 5.1890 4.5454 Å, 104.70 104.70 34.88°
Element x y z (fractional)
In1 0.0000 0.0000 0.0000
Tc1 0.2532 0.2532 0.7342
Tc2 0.7468 0.7468 0.2658
Ag1 0.5000 0.5000 0.5000

VASP calculation (PBE) on InTc2Ag after structural relaxation.

Summary:
E = -24.2 eV/cell
Magnetization = 0.00 μB per cell
SG = No. 10

Cell: 2.7758 4.7215 5.2655 Å, 90.00 101.47 90.00°
Element x y z (fractional)
In1 0.0000 0.0000 0.0000
Tc1 0.2232 0.5000 0.7368
Tc2 0.7768 0.5000 0.2632
Ag1 0.5000 0.0000 0.5000

VASP calculation (PBE) on In2TcAg after structural relaxation.

Summary:
E = -17.8 eV/cell
Magnetization = 1.09 μB per cell
SG = No. 8

Cell: 5.5076 5.5076 4.8387 Å, 108.32 108.32 33.39°
Element x y z (fractional)
In1 0.0000 0.0000 0.0000
In2 0.2314 0.2314 0.6088
Tc1 0.4944 0.4944 0.5092
Ag1 0.7573 0.7573 0.1327

The lowest E belongs to which entry?
number 2